No. 1
Below is a geometry-optimized YScCu structure, with properties calculated at the PBE-GGA level.

abc: 8.258 8.258 8.258
angles: 32.84 32.84 32.84
Element x y z (fractional)
Y  0.120  0.120  0.120
Y  0.880  0.880  0.880
Sc  0.369  0.369  0.369
Sc  0.631  0.631  0.631
Cu  0.255  0.255  0.255
Cu  0.745  0.745  0.745


No. 2
Below is a geometry-optimized Sc2ZnCu structure, with properties calculated at the PBE-GGA level.

abc: 7.333 7.333 5.910
angles: 90.00 90.00 90.00
Element x y z (fractional)
Sc  0.226  0.250  0.125
Sc  0.250  0.726  0.375
Sc  0.250  0.774  0.875
Sc  0.274  0.250  0.625
Sc  0.726  0.750  0.625
Sc  0.750  0.226  0.875
Sc  0.750  0.274  0.375
Sc  0.774  0.750  0.125
Zn  0.000  0.000  0.500
Zn  0.000  0.500  0.750
Zn  0.500  0.000  0.250
Zn  0.500  0.500  0.000
Cu  0.000  0.000  0.000
Cu  0.000  0.500  0.250
Cu  0.500  0.000  0.750
Cu  0.500  0.500  0.500


No. 3
Below is a geometry-optimized Sc2ZnCu4 structure, with properties calculated at the PBE-GGA level.

abc: 4.391 4.391 13.580
angles: 90.00 90.00 90.00
Element x y z (fractional)
Sc  0.000  0.000  0.131
Sc  0.000  0.000  0.869
Sc  0.500  0.500  0.369
Sc  0.500  0.500  0.631
Zn  0.000  0.000  0.500
Zn  0.500  0.500  0.000
Cu  0.000  0.000  0.324
Cu  0.000  0.000  0.676
Cu  0.000  0.500  0.000
Cu  0.000  0.500  0.500
Cu  0.500  0.000  0.000
Cu  0.500  0.000  0.500
Cu  0.500  0.500  0.176
Cu  0.500  0.500  0.824


No. 4
Below is a geometry-optimized ScZnCu3 structure, with properties calculated at the PBE-GGA level.

abc: 6.155 6.155 6.155
angles: 133.08 112.55 86.18
Element x y z (fractional)
Sc  0.257  0.007  0.250
Sc  0.743  0.993  0.750
Zn  0.000  0.500  0.500
Zn  0.500  0.500  0.000
Cu  0.185  0.000  0.685
Cu  0.185  0.500  0.185
Cu  0.445  0.695  0.750
Cu  0.555  0.305  0.250
Cu  0.815  0.000  0.315
Cu  0.815  0.500  0.815


Number 1: formation energy from the elements 62 meV per atom. Number 2: formation energy from the elements 129 meV per atom. Number 3: formation energy from the elements 305 meV per atom. Number 4: formation energy from the elements -130 meV per atom.